Record 1
Mg2CdIn | meta-GGA SCAN | PBEsol geometry

Calculated values
The value obtained for the calculated volume is 86 Å³/f.u. For the magnetic moment, the calculation gives 0.000 μB per cell. The value obtained for the uncorrected energy is -18.605 eV per atom. The density of states at the Fermi level comes out at 0.39 states/eV per atom.

a = 3.1367 Å, b = 4.3363 Å, c = 6.3451 Å
α = 90.00°, β = 90.00°, γ = 90.00°
With the nearest neighbours (Å) after each atom.
Fractional coordinates of all 4 atoms:
Mg (0.0000, 0.0000, 0.2443)  4 Cd 3.09, 4 Mg 3.10-3.25, 4 In 3.13
Mg (0.0000, 0.0000, 0.7557)  4 Cd 3.09, 4 Mg 3.10-3.25, 4 In 3.13
Cd (0.5000, 0.5000, 0.0000)  8 Mg 3.09, 2 Cd 3.14, 2 In 3.17
In (0.5000, 0.5000, 0.5000)  8 Mg 3.13, 2 In 3.14, 2 Cd 3.17

***

Record 2
MgCdIn2 | meta-GGA SCAN | PBEsol geometry

Calculated values
The value obtained for the calculated volume is 92 Å³/f.u. For the magnetic moment, the calculation gives 0.000 μB per cell. The value obtained for the uncorrected energy is -25.598 eV per atom. The density of states at the Fermi level comes out at 0.36 states/eV per atom.

a = 5.4033 Å, b = 5.4033 Å, c = 5.4305 Å
α = 99.89°, β = 99.89°, γ = 36.02°
With the nearest neighbours (Å) after each atom.
Fractional coordinates of all 4 atoms:
Mg (0.0000, 0.0000, 0.0000)  7 In 3.10-3.22, 3 Cd 3.10-3.15, 2 Mg 3.34
Cd (0.7437, 0.7437, 0.2435)  7 In 3.10-3.24, 3 Mg 3.10-3.15, 2 Cd 3.34
In (0.2507, 0.2507, 0.7575)  3 Mg 3.10-3.14, 5 In 3.11-3.34, 4 Cd 3.14-3.24
In (0.4945, 0.4945, 0.4906)  3 Cd 3.10-3.16, 5 In 3.11-3.34, 4 Mg 3.15-3.22